CsTaClO3, relaxed, DFT PBE; DOS at the Fermi energy = 2.37 states/eV per cell; magnetic moment = 2.0 μB per cell; V = 297 Å³ per cell; formation energy from raw total energies = -1.965 eV/atom
1.0
3.819 -6.907 0.000
3.819 6.907 0.000
-1.189 0.000 5.630
Cs Ta Cl O
2 2 2 6
Cartesian
2.926 4.246 4.222 Cs
3.521 -4.246 1.407 Cs
3.521 0.602 1.407 Ta
2.926 -0.602 4.222 Ta
3.521 6.071 1.407 Cl
2.926 -6.071 4.222 Cl
3.521 2.396 1.407 O
1.408 0.015 5.360 O
2.002 -0.015 2.545 O
4.445 0.015 3.085 O
5.040 -0.015 0.270 O
2.926 -2.396 4.222 O